[1]
Here is a relaxed structure of La2MnGe5 from the Alexandria database. Energies are from PBE-GGA.

Cell: 6.387 6.387 6.387 Å, 86.75 121.89 121.89°
Last column: magnetic moment on the atom in μB.
Fractional coordinates of all 8 atoms:
1 La 0.500 0.235 0.735  0.00
2 La 0.500 0.735 0.235  0.00
3 Mn 0.000 0.013 0.013  2.85
4 Ge 0.434 0.707 0.707  -0.02
5 Ge 0.000 0.707 0.273  -0.02
6 Ge 0.000 0.273 0.707  -0.02
7 Ge 0.566 0.273 0.273  -0.02
8 Ge 0.000 0.279 0.279  -0.04

Raw total energy, eV per atom: -5.71
DOS at the Fermi energy, states/eV per cell: 4.37

---

[2]
Here is a relaxed structure of LiBIr from the Alexandria database. Energies are from PBE-GGA.

Cell: 3.114 3.581 3.581 Å, 120.00 90.00 90.00°
Fractional coordinates of all 3 atoms:
1 B 0.500 0.667 0.333
2 Ir 0.500 0.333 0.667
3 Li 0.000 0.000 0.000

DOS at the Fermi energy, states/eV per cell: 0.76
Polymorph energy (0 for the lowest one), meV/atom: 280

---

[3]
Here is a relaxed structure of LiZn2Re from the Alexandria database. Energies are from PBE-GGA.

Cell: 4.642 4.642 2.696 Å, 90.02 90.02 104.31°
Fractional coordinates of all 4 atoms:
1 Li 0.500 0.000 0.500
2 Re 0.000 0.500 0.500
3 Zn 0.000 0.000 0.000
4 Zn 0.500 0.500 0.000

DOS at the Fermi energy, states/eV per cell: 0.21
Polymorph energy (0 for the lowest one), meV/atom: 0

---

[4]
Here is a relaxed structure of TiZnTcGe from the Alexandria database. Energies are from PBE-GGA.

Cell: 4.364 4.364 4.364 Å, 60.00 60.00 60.00°
Fractional coordinates of all 4 atoms:
1 Zn 0.750 0.750 0.750
2 Ge 0.250 0.250 0.250
3 Tc 0.000 0.000 0.000
4 Ti 0.500 0.500 0.500

Raw total energy, eV per atom: -6.21
DOS at the Fermi energy, states/eV per cell: 3.78

---

[5]
Here is a relaxed structure of La3HoTh2As6 from the Alexandria database. Energies are from PBE-GGA.

Cell: 7.416 7.416 7.447 Å, 99.54 99.54 120.04°
Fractional coordinates of all 12 atoms:
1 La 0.167 0.833 0.500
2 La 0.833 0.167 0.500
3 La 0.500 0.500 0.500
4 Ho 0.000 0.000 0.000
5 Th 0.334 0.666 0.000
6 Th 0.666 0.334 0.000
7 As 0.920 0.591 0.761
8 As 0.750 0.750 0.240
9 As 0.080 0.409 0.239
10 As 0.591 0.920 0.761
11 As 0.250 0.250 0.760
12 As 0.409 0.080 0.239

Raw total energy, eV per atom: -6.70
DOS at the Fermi energy, states/eV per cell: 2.58

---

[6]
Here is a relaxed structure of PIrAu2 from the Alexandria database. Energies are from PBE-GGA.

Cell: 3.094 3.323 8.154 Å, 101.93 90.00 117.75°
Fractional coordinates of all 4 atoms:
1 P 0.328 0.070 0.831
2 Ir 0.699 0.812 0.990
3 Au 0.470 0.353 0.262
4 Au 0.233 0.878 0.534

Raw total energy, eV per atom: -5.31
DOS at the Fermi energy, states/eV per cell: 0.74